First-principles (GGA-PBE) data for a geometry-optimized Zr2AlP structure, as listed in Alexandria via LeMat-Bulk.

Properties
SG   P6_3/mmc (194)
Energy above the most stable polymorph in this dataset   0 meV/atom
Crystal system   hexagonal
Final energy   -59.23 eV per cell

Lattice parameters (Å, degrees): 3.592 3.592 14.534 90.00 90.00 120.00
Fractional coordinates of all 8 atoms:
1 P 0.000 0.000 0.000
2 P 0.000 0.000 0.500
3 Zr 0.667 0.333 0.397
4 Zr 0.333 0.667 0.897
5 Zr 0.667 0.333 0.103
6 Zr 0.333 0.667 0.603
7 Al 0.667 0.333 0.750
8 Al 0.333 0.667 0.250